# Mo2As

A relaxed structure of Mo2As (PBE, the Alexandria database).

Cell and atoms, written as POSCAR:
```
Mo2As
1.0
4.450 0.000 0.000
-2.225 3.854 0.000
0.000 0.000 2.804
Mo As
2 1
direct
0.333 0.667 0.188
0.667 0.333 0.812
0.000 0.000 0.000
```

Total moment   0.0 Bohr magnetons per cell
Offset from the most stable computed form   142 meV per atom
Density   9.212 g/cm³
Crystal system   trigonal

# CsZnGePSeBr

A relaxed structure of CsZnGePSeBr (PBE, the Alexandria database).

Cell and atoms, written as POSCAR:
```
CsZnGePSeBr
1.0
7.483 -2.206 0.000
7.483 2.206 0.000
-2.515 0.000 5.768
Cs Zn Ge P Se Br
1 1 1 1 1 1
direct
0.000 0.000 0.000
0.714 0.714 0.695
0.284 0.284 0.337
0.281 0.281 0.690
0.754 0.754 0.146
0.530 0.530 0.514
```

Total moment   0.0 Bohr magnetons per cell
Offset from the most stable computed form   68 meV per atom
Density   4.018 g/cm³
E_form (uncorrected)   -540 meV per atom
Crystal system   monoclinic

# TmMg2ZnAu4

A relaxed structure of TmMg2ZnAu4 (PBE, the Alexandria database).

Cell and atoms, written as POSCAR:
```
TmMg2ZnAu4
1.0
2.331 1.346 8.061
-2.331 1.346 8.061
0.000 -2.691 8.061
Tm Mg Zn Au
1 2 1 4
direct
0.000 0.000 0.000
0.244 0.244 0.244
0.756 0.756 0.756
0.500 0.500 0.500
0.126 0.126 0.126
0.387 0.387 0.387
0.613 0.613 0.613
0.874 0.874 0.874
```

Electronic total energy   -3.3374 eV/atom
Total moment   0.0 Bohr magnetons per cell
Density   11.723 g/cm³
Crystal system   trigonal

# TcGe3W

A relaxed structure of TcGe3W (PBE, the Alexandria database).

Cell and atoms, written as POSCAR:
```
TcGe3W
1.0
6.959 -5.483 0.000
6.959 5.483 0.000
-0.179 0.000 4.790
Tc Ge W
4 12 4
direct
0.058 0.942 0.750
0.196 0.804 0.250
0.804 0.196 0.750
0.942 0.058 0.250
0.075 0.219 0.915
0.092 0.646 0.603
0.219 0.075 0.415
0.274 0.525 0.095
0.354 0.908 0.897
0.475 0.726 0.405
0.525 0.274 0.595
0.646 0.092 0.103
0.726 0.475 0.905
0.781 0.925 0.585
0.908 0.354 0.397
0.925 0.781 0.085
0.234 0.360 0.610
0.360 0.234 0.110
0.640 0.766 0.890
0.766 0.640 0.390
```

Total moment   0.0 Bohr magnetons per cell
Offset from the most stable computed form   0 meV per atom
Density   9.081 g/cm³
Crystal system   monoclinic

Repeat the first record exactly.
# Mo2As

A relaxed structure of Mo2As (PBE, the Alexandria database).

Cell and atoms, written as POSCAR:
```
Mo2As
1.0
4.450 0.000 0.000
-2.225 3.854 0.000
0.000 0.000 2.804
Mo As
2 1
direct
0.333 0.667 0.188
0.667 0.333 0.812
0.000 0.000 0.000
```

Total moment   0.0 Bohr magnetons per cell
Offset from the most stable computed form   142 meV per atom
Density   9.212 g/cm³
Crystal system   trigonal

- The highest density belongs to which entry?
  TmMg2ZnAu4

- density of number 2 (CsZnGePSeBr)?
  4.018 g/cm³